No. 1
MnPSeO2 | GGA-PBEsol | relaxed

```
5
Lattice="3.500 0.000 0.000 0.000 3.500 0.000 0.000 0.000 5.306" Properties=species:S:1:pos:R:3 pbc="T T T"
Mn 0.000 0.000 0.000
P 0.000 0.000 2.653
Se 1.750 1.750 2.653
O 0.000 1.750 0.000
O 1.750 0.000 0.000
```

Formation energy (no corrections) ... -0.585 eV per atom

No. 2
Y2RuF2 | GGA-PBEsol | relaxed

```
5
Lattice="-1.747 1.747 6.483 1.747 -1.747 6.483 1.747 1.747 -6.483" Properties=species:S:1:pos:R:3 pbc="T T T"
Y 0.000 0.000 1.648
Y 0.000 0.000 11.319
Ru 0.000 0.000 6.483
F 1.747 0.000 3.242
F 0.000 1.747 3.242
```

Formation energy (no corrections) ... -2.273 eV per atom

No. 3
Li2CuSnF | GGA-PBEsol | relaxed

```
5
Lattice="5.410 0.000 0.000 0.000 5.410 0.000 0.000 0.000 4.639" Properties=species:S:1:pos:R:3 pbc="T T T"
Li 0.000 2.705 0.000
Li 2.705 0.000 0.000
Cu 0.000 0.000 2.320
Sn 0.000 0.000 0.000
F 2.705 2.705 2.320
```

Formation energy (no corrections) ... 0.012 eV per atom

No. 4
HgTeAs2 | GGA-PBEsol | relaxed

```
8
Lattice="-2.921 2.921 7.030 2.921 -2.921 7.030 2.921 2.921 -7.030" Properties=species:S:1:pos:R:3 pbc="T T T"
Hg 0.000 0.000 0.000
Hg 0.000 2.921 3.515
Te 2.921 0.000 3.515
Te 0.000 0.000 7.030
As 4.382 1.389 -1.758
As 1.389 1.461 1.758
As -1.461 1.533 5.273
As 1.533 1.461 8.788
```

Formation energy (no corrections) ... 0.368 eV per atom

No. 5
Ta2B2Os | GGA-PBEsol | relaxed

```
10
Lattice="5.805 0.000 0.000 0.000 5.805 0.000 0.000 0.000 3.497" Properties=species:S:1:pos:R:3 pbc="T T T"
Ta 1.021 1.882 0.000
Ta 1.882 4.784 0.000
Ta 3.923 1.021 0.000
Ta 4.784 3.923 0.000
B 0.673 3.576 1.748
B 2.229 0.673 1.748
B 3.576 5.132 1.748
B 5.132 2.229 1.748
Os 0.000 0.000 1.748
Os 2.903 2.903 1.748
```

Formation energy ... -0.686 eV per atom
Offset from the most stable computed form ... 0.048 eV/f.u.

No. 6
KSbPt2 | GGA-PBEsol | relaxed

```
4
Lattice="3.908 -2.247 0.000 3.908 2.247 0.000 -2.607 0.000 6.004" Properties=species:S:1:pos:R:3 pbc="T T T"
K 0.000 0.000 0.000
Sb -0.010 0.000 3.476
Pt 2.597 0.000 2.508
Pt 5.197 0.000 2.487
```

Formation energy (no corrections) ... -0.222 eV per atom
Offset from the most stable computed form ... 0.128 eV/f.u.

no.,total DFT energy (no corrections) (eV per atom),DOS(E_F) (states/eV/f.u.)
1,-6.57,2.4
2,-7.81,1.3
3,-2.88,4.4
4,-3.21,2.9
5,-10.96,1.8
6,-5.13,3.7